# 1
Entry from Alexandria via LeMat-Bulk: an optimized crystal structure of LiAlW (GGA-PBE).

Cell lengths 6.8370, 6.8370, 6.8370 Å; angles 157.37, 157.37, 32.21 degrees
Atoms (fractional coordinates):
W1 0.6600 0.6600 0.0000
Li1 0.3365 0.3365 0.0000
Al1 0.0035 0.0035 0.0000

Computed properties:
total moment = 0.00 μB/f.u.
VASP energy = -6.04 eV/atom
N(E_F) = 0.481 states/eV/atom
space group = I4mm
calculated formation energy = 163 meV/atom

---

# 2
Entry from Alexandria via LeMat-Bulk: an optimized crystal structure of LiAlW2 (GGA-PBE).

Cell lengths 4.7453, 4.7453, 5.0603 Å; angles 85.48, 85.48, 32.79 degrees
Atoms (fractional coordinates):
W1 0.0013 0.0013 0.9923
W2 0.7561 0.7561 0.7595
Al1 0.4947 0.4947 0.4890
Li1 0.2479 0.2479 0.2592

Computed properties:
total moment = 0.00 μB/f.u.
VASP energy = -7.68 eV/atom
N(E_F) = 0.386 states/eV/atom
space group = Cm
calculated formation energy = 212 meV/atom

---

# 3
Entry from Alexandria via LeMat-Bulk: an optimized crystal structure of LiAlW (GGA-PBE).

Cell lengths 2.7134, 4.4034, 7.6826 Å; angles 90.00, 92.11, 90.00 degrees
Atoms (fractional coordinates):
Al1 0.5527 0.5000 0.6550
Al2 0.2050 0.5000 0.9999
W1 0.6528 0.0000 0.1607
W2 0.9315 0.5000 0.3325
Li1 0.3113 0.0000 0.4907
Li2 0.0249 0.0000 0.8174

Computed properties:
total moment = 0.00 μB/f.u.
VASP energy = -6.15 eV/atom
N(E_F) = 0.335 states/eV/atom
space group = Pm
calculated formation energy = 49 meV/atom

---

# 4
Entry from Alexandria via LeMat-Bulk: an optimized crystal structure of LiAlW2 (GGA-PBE).

Cell lengths 4.4057, 2.6616, 5.3785 Å; angles 74.03, 90.00, 90.00 degrees
Atoms (fractional coordinates):
W1 0.0000 0.5226 0.5008
W2 0.0000 0.9774 0.9992
Li1 0.5000 0.7500 0.7500
Al1 0.5000 0.2500 0.2500

Computed properties:
total moment = 0.00 μB/f.u.
VASP energy = -7.67 eV/atom
N(E_F) = 0.392 states/eV/atom
space group = P2/m
calculated formation energy = 218 meV/atom

---

# 5
Entry from Alexandria via LeMat-Bulk: an optimized crystal structure of LiAlW2 (GGA-PBE).

Cell lengths 2.6516, 4.1706, 5.6716 Å; angles 90.00, 90.00, 90.00 degrees
Atoms (fractional coordinates):
Li1 0.5000 0.5000 0.7376
Al1 0.0000 0.0000 0.5089
W1 0.5000 0.5000 0.2430
W2 0.0000 0.0000 0.0106

Computed properties:
total moment = 0.00 μB/f.u.
VASP energy = -7.62 eV/atom
N(E_F) = 0.595 states/eV/atom
space group = Pmm2
calculated formation energy = 269 meV/atom

---

# 6
Entry from Alexandria via LeMat-Bulk: an optimized crystal structure of LiAlW (GGA-PBE).

Cell lengths 4.4132, 4.4132, 5.4704 Å; angles 90.00, 90.00, 120.00 degrees
Atoms (fractional coordinates):
W1 0.0000 0.0000 0.5267
W2 0.3333 0.6667 0.6626
Al1 0.6667 0.3333 0.3951
Al2 0.0000 0.0000 0.0085
Li1 0.3333 0.6667 0.1853
Li2 0.6667 0.3333 0.8626

Computed properties:
total moment = 0.00 μB/f.u.
VASP energy = -6.15 eV/atom
N(E_F) = 0.202 states/eV/atom
space group = P3m1
calculated formation energy = 54 meV/atom

---

# 7
Entry from Alexandria via LeMat-Bulk: an optimized crystal structure of LiAl4W (GGA-PBE).

Cell lengths 2.8200, 7.4769, 4.6931 Å; angles 90.02, 90.00, 90.00 degrees
Atoms (fractional coordinates):
Al1 0.5000 0.3118 0.9998
Al2 0.5000 0.6882 0.0002
Al3 0.0000 0.1814 0.5000
Al4 0.0000 0.8186 0.5000
W1 0.0000 0.0000 0.0000
Li1 0.5000 0.5000 0.5000

Computed properties:
total moment = 0.00 μB/f.u.
VASP energy = -4.90 eV/atom
N(E_F) = 0.485 states/eV/atom
space group = Pmmm
calculated formation energy = 74 meV/atom

---

# 8
Entry from Alexandria via LeMat-Bulk: an optimized crystal structure of LiAlW (GGA-PBE).

Cell lengths 2.7917, 2.7917, 7.0775 Å; angles 90.00, 90.00, 120.00 degrees
Atoms (fractional coordinates):
Li1 0.3333 0.6667 0.3314
Al1 0.0000 0.0000 0.9939
W1 0.6667 0.3333 0.6747

Computed properties:
total moment = 0.00 μB/f.u.
VASP energy = -6.04 eV/atom
N(E_F) = 0.409 states/eV/atom
space group = P3m1
calculated formation energy = 161 meV/atom

---

# 9
Entry from Alexandria via LeMat-Bulk: an optimized crystal structure of LiAlW (GGA-PBE).

Cell lengths 2.7309, 4.3855, 7.8521 Å; angles 90.00, 92.27, 90.00 degrees
Atoms (fractional coordinates):
Al1 0.5862 0.2500 0.2413
Al2 0.4138 0.7500 0.7587
Li1 0.2002 0.2500 0.5745
Li2 0.7998 0.7500 0.4255
W1 0.8662 0.2500 0.9168
W2 0.1338 0.7500 0.0832

Computed properties:
total moment = 0.00 μB/f.u.
VASP energy = -6.22 eV/atom
N(E_F) = 0.265 states/eV/atom
space group = P2_1/m
calculated formation energy = -16 meV/atom

---

# 10
Entry from Alexandria via LeMat-Bulk: an optimized crystal structure of LiAlW2 (GGA-PBE).

Cell lengths 2.6755, 2.6755, 8.7306 Å; angles 90.00, 90.00, 90.00 degrees
Atoms (fractional coordinates):
Li1 0.5000 0.5000 0.7500
W1 0.0000 0.0000 0.0138
W2 0.0000 0.0000 0.4862
Al1 0.5000 0.5000 0.2500

Computed properties:
total moment = 0.00 μB/f.u.
VASP energy = -7.58 eV/atom
N(E_F) = 0.451 states/eV/atom
space group = P4/mmm
calculated formation energy = 308 meV/atom

---

# 11
Entry from Alexandria via LeMat-Bulk: an optimized crystal structure of LiAlW2 (GGA-PBE).

Cell lengths 6.8969, 6.8969, 5.5327 Å; angles 51.44, 51.44, 90.00 degrees
Atoms (fractional coordinates):
Li1 0.2500 0.7500 0.5000
Li2 0.5000 0.5000 0.0000
Al1 0.7500 0.2500 0.5000
Al2 0.0000 0.0000 0.0000
W1 0.6179 0.1250 0.2500
W2 0.8750 0.8679 0.7500
W3 0.1321 0.6250 0.2500
W4 0.3750 0.3821 0.7500

Computed properties:
total moment = 0.00 μB/f.u.
VASP energy = -7.01 eV/atom
N(E_F) = 0.635 states/eV/atom
space group = I-42d
calculated formation energy = 885 meV/atom

---

# 12
Entry from Alexandria via LeMat-Bulk: an optimized crystal structure of LiAlW (GGA-PBE).

Cell lengths 8.5142, 4.5729, 4.7256 Å; angles 90.00, 90.00, 90.00 degrees
Atoms (fractional coordinates):
Li1 0.1799 0.5000 0.0000
Li2 0.3201 0.0000 0.0000
Li3 0.8201 0.5000 0.0000
Li4 0.6799 0.0000 0.0000
W1 0.8364 0.0000 0.5000
W2 0.3364 0.5000 0.5000
W3 0.6636 0.5000 0.5000
W4 0.1636 0.0000 0.5000
Al1 0.0000 0.5000 0.5000
Al2 0.5000 0.5000 0.0000
Al3 0.5000 0.0000 0.5000
Al4 0.0000 0.0000 0.0000

Computed properties:
total moment = 0.00 μB/f.u.
VASP energy = -6.15 eV/atom
N(E_F) = 0.449 states/eV/atom
space group = Cmmm
calculated formation energy = 58 meV/atom